# 1
SrAuBr2 | PBE-GGA | relaxed

a = 3.7054 Å, b = 3.7054 Å, c = 10.3618 Å
α = 90.00°, β = 90.00°, γ = 90.00°
Last column: nearest neighbours and their distance in Å.
Atoms (fractional coordinates):
Sr 0.0000 0.0000 0.0000  8 Br 3.16
Au 0.0000 0.0000 0.5000  4 Au 3.71
Br 0.5000 0.5000 0.1706  4 Sr 3.16, 1 Br 3.54
Br 0.5000 0.5000 0.8294  4 Sr 3.16, 1 Br 3.54

Calculated values
E_tot: -11.9 eV/cell
Offset from the most stable computed form: 206.7 meV per atom
ΔE_f (raw): -0.89 eV per atom

# 2
HfAg3W | PBE-GGA | relaxed

a = 4.9479 Å, b = 4.9479 Å, c = 4.9479 Å
α = 90.00°, β = 90.00°, γ = 90.00°
Last column: nearest neighbours and their distance in Å.
Atoms (fractional coordinates):
Hf 0.0000 0.0000 0.0000  12 Ag 3.50
Ag 0.0000 0.5000 0.5000  2 W 2.47
Ag 0.5000 0.0000 0.5000  2 W 2.47
Ag 0.5000 0.5000 0.0000  2 W 2.47
W 0.5000 0.5000 0.5000  6 Ag 2.47

Calculated values
E_form: 1.761 eV/atom
E_tot: -22.7 eV/cell
Offset from the most stable computed form: 0.0 meV per atom